No. 1
Below is NaTl6 after structural relaxation, with properties calculated at the PBE level.

- Calculated total energy: -2.200 eV per atom
- Density of states at the Fermi level: 2.8 states/eV/f.u.
- Energy above the most stable polymorph in this dataset: 0 meV per atom
- Density: 9.36 g cm⁻³

Geometry as POSCAR:
```
NaTl6
1.0
5.296 0.000 0.000
0.000 5.296 0.000
0.000 0.000 7.899
Na Tl
1 6
direct
0.000 0.000 0.000 Na
0.000 0.000 0.500 Tl
0.000 0.500 0.265 Tl
0.000 0.500 0.735 Tl
0.500 0.000 0.265 Tl
0.500 0.000 0.735 Tl
0.500 0.500 0.000 Tl
```



No. 2
Below is Na5Tl3 after structural relaxation, with properties calculated at the PBE level.

- Calculated total energy: -1.796 eV per atom
- Density of states at the Fermi level: 4.7 states/eV/f.u.
- Energy above the most stable polymorph in this dataset: 15 meV per atom
- Density: 5.16 g cm⁻³

Geometry as POSCAR:
```
Na5Tl3
1.0
5.146 -4.412 0.000
5.146 4.412 0.000
0.000 0.000 10.321
Na Tl
10 6
direct
0.001 0.500 0.250 Na
0.001 0.999 0.750 Na
0.269 0.731 0.000 Na
0.269 0.731 0.500 Na
0.500 0.001 0.750 Na
0.500 0.999 0.250 Na
0.731 0.269 0.000 Na
0.731 0.269 0.500 Na
0.999 0.001 0.250 Na
0.999 0.500 0.750 Na
0.237 0.237 0.000 Tl
0.237 0.237 0.500 Tl
0.499 0.501 0.750 Tl
0.501 0.499 0.250 Tl
0.763 0.763 0.000 Tl
0.763 0.763 0.500 Tl
```



No. 3
Below is Na17Tl2 after structural relaxation, with properties calculated at the PBE level.

- Calculated total energy: -1.369 eV per atom
- Density of states at the Fermi level: 8.1 states/eV/f.u.
- Density: 1.89 g cm⁻³

Geometry as POSCAR:
```
Na17Tl2
1.0
5.647 3.260 6.366
-5.647 3.260 6.366
0.000 -6.520 6.366
Na Tl
17 2
direct
0.000 0.000 0.500 Na
0.000 0.322 0.678 Na
0.000 0.500 0.000 Na
0.000 0.678 0.322 Na
0.091 0.091 0.091 Na
0.152 0.643 0.643 Na
0.322 0.000 0.678 Na
0.322 0.678 0.000 Na
0.357 0.357 0.848 Na
0.357 0.848 0.357 Na
0.500 0.000 0.000 Na
0.643 0.152 0.643 Na
0.643 0.643 0.152 Na
0.678 0.000 0.322 Na
0.678 0.322 0.000 Na
0.848 0.357 0.357 Na
0.909 0.909 0.909 Na
0.283 0.283 0.283 Tl
0.717 0.717 0.717 Tl
```



No. 4
Below is Na5Tl after structural relaxation, with properties calculated at the PBE level.

- Calculated total energy: -1.541 eV per atom
- Density of states at the Fermi level: 2.7 states/eV/f.u.
- Density: 2.72 g cm⁻³

Geometry as POSCAR:
```
Na5Tl
1.0
2.371 -7.802 0.000
2.371 7.802 0.000
0.000 0.000 5.277
Na Tl
5 1
direct
0.000 0.000 0.000 Na
0.157 0.843 0.500 Na
0.341 0.659 0.000 Na
0.659 0.341 0.000 Na
0.843 0.157 0.500 Na
0.500 0.500 0.500 Tl
```



No. 5
Below is Na5Tl after structural relaxation, with properties calculated at the PBE level.

- Calculated total energy: -1.540 eV per atom
- Density of states at the Fermi level: 2.9 states/eV/f.u.
- Density: 2.73 g cm⁻³

Geometry as POSCAR:
```
Na5Tl
1.0
5.876 -2.391 0.000
5.876 2.391 0.000
-2.359 0.000 6.910
Na Tl
5 1
direct
0.000 0.000 0.000 Na
0.334 0.334 0.654 Na
0.343 0.343 0.187 Na
0.657 0.657 0.813 Na
0.666 0.666 0.346 Na
0.000 0.000 0.500 Tl
```



No. 6
Below is Na3Tl5 after structural relaxation, with properties calculated at the PBE level.

- Calculated total energy: -2.059 eV per atom
- Density of states at the Fermi level: 3.8 states/eV/f.u.
- Energy above the most stable polymorph in this dataset: 9 meV per atom
- Density: 7.82 g cm⁻³

Geometry as POSCAR:
```
Na3Tl5
1.0
0.000 5.111 6.825
3.319 0.000 6.825
3.319 5.111 0.000
Na Tl
3 5
direct
0.000 0.000 0.000 Na
0.255 0.255 0.745 Na
0.745 0.745 0.255 Na
0.126 0.126 0.374 Tl
0.374 0.374 0.126 Tl
0.500 0.500 0.500 Tl
0.626 0.626 0.874 Tl
0.874 0.874 0.626 Tl
```



No. 7
Below is Na3Tl after structural relaxation, with properties calculated at the PBE level.

- Calculated total energy: -1.660 eV per atom
- Density of states at the Fermi level: 1.8 states/eV/f.u.
- Energy above the most stable polymorph in this dataset: 0 meV per atom
- Density: 3.67 g cm⁻³

Geometry as POSCAR:
```
Na3Tl
1.0
7.029 0.000 0.000
-3.514 6.087 0.000
0.000 0.000 5.787
Na Tl
6 2
direct
0.173 0.347 0.250 Na
0.173 0.827 0.250 Na
0.347 0.173 0.750 Na
0.653 0.827 0.250 Na
0.827 0.173 0.750 Na
0.827 0.653 0.750 Na
0.333 0.667 0.750 Tl
0.667 0.333 0.250 Tl
```



No. 8
Below is Na7Tl after structural relaxation, with properties calculated at the PBE level.

- Calculated total energy: -1.484 eV per atom
- Density of states at the Fermi level: 1.9 states/eV/f.u.
- Density: 2.28 g cm⁻³

Geometry as POSCAR:
```
Na7Tl
1.0
0.000 5.104 5.104
5.104 0.000 5.104
5.104 5.104 0.000
Na Tl
7 1
direct
0.000 0.000 0.000 Na
0.000 0.000 0.500 Na
0.000 0.500 0.000 Na
0.000 0.500 0.500 Na
0.500 0.000 0.000 Na
0.500 0.000 0.500 Na
0.500 0.500 0.000 Na
0.500 0.500 0.500 Tl
```



No. 9
Below is Na11Tl4 after structural relaxation, with properties calculated at the PBE level.

- Calculated total energy: -1.638 eV per atom
- Density of states at the Fermi level: 5.7 states/eV/f.u.
- Density: 3.70 g cm⁻³

Geometry as POSCAR:
```
Na11Tl4
1.0
12.191 0.000 0.000
0.000 12.191 0.000
0.000 0.000 6.461
Na Tl
22 8
direct
0.000 0.000 0.000 Na
0.055 0.277 0.000 Na
0.108 0.108 0.500 Na
0.190 0.810 0.252 Na
0.190 0.810 0.748 Na
0.223 0.555 0.500 Na
0.277 0.055 0.000 Na
0.310 0.310 0.248 Na
0.310 0.310 0.752 Na
0.392 0.608 0.000 Na
0.445 0.777 0.500 Na
0.500 0.500 0.500 Na
0.555 0.223 0.500 Na
0.608 0.392 0.000 Na
0.690 0.690 0.248 Na
0.690 0.690 0.752 Na
0.723 0.945 0.000 Na
0.777 0.445 0.500 Na
0.810 0.190 0.252 Na
0.810 0.190 0.748 Na
0.892 0.892 0.500 Na
0.945 0.723 0.000 Na
0.031 0.370 0.500 Tl
0.130 0.531 0.000 Tl
0.370 0.031 0.500 Tl
0.469 0.870 0.000 Tl
0.531 0.130 0.000 Tl
0.630 0.969 0.500 Tl
0.870 0.469 0.000 Tl
0.969 0.630 0.500 Tl
```



No. 10
Below is NaTl7 after structural relaxation, with properties calculated at the PBE level.

- Calculated total energy: -2.258 eV per atom
- Density of states at the Fermi level: 4.3 states/eV/f.u.
- Density: 10.11 g cm⁻³

Geometry as POSCAR:
```
NaTl7
1.0
0.000 4.924 4.924
4.924 0.000 4.924
4.924 4.924 0.000
Na Tl
1 7
direct
0.000 0.000 0.000 Na
0.000 0.000 0.500 Tl
0.000 0.500 0.000 Tl
0.000 0.500 0.500 Tl
0.500 0.000 0.000 Tl
0.500 0.000 0.500 Tl
0.500 0.500 0.000 Tl
0.500 0.500 0.500 Tl
```



No. 11
Below is Na3Tl after structural relaxation, with properties calculated at the PBE level.

- Calculated total energy: -1.568 eV per atom
- Density of states at the Fermi level: 2.5 states/eV/f.u.
- Energy above the most stable polymorph in this dataset: 92 meV per atom
- Density: 3.54 g cm⁻³

Geometry as POSCAR:
```
Na3Tl
1.0
0.000 3.433 5.812
3.211 0.000 5.812
3.211 3.433 0.000
Na Tl
3 1
direct
0.000 0.000 0.000 Na
0.000 0.500 0.500 Na
0.500 0.000 0.000 Na
0.500 0.500 0.500 Tl
```



No. 12
Below is Na3Tl7 after structural relaxation, with properties calculated at the PBE level.

- Calculated total energy: -2.084 eV per atom
- Density of states at the Fermi level: 6.0 states/eV/f.u.
- Energy above the most stable polymorph in this dataset: 48 meV per atom
- Density: 8.30 g cm⁻³

Geometry as POSCAR:
```
Na3Tl7
1.0
10.596 0.000 0.000
-5.298 9.176 0.000
0.000 0.000 6.174
Na Tl
6 14
direct
0.206 0.412 0.000 Na
0.206 0.794 0.000 Na
0.412 0.206 0.500 Na
0.588 0.794 0.000 Na
0.794 0.206 0.500 Na
0.794 0.588 0.500 Na
0.054 0.527 0.667 Tl
0.116 0.231 0.489 Tl
0.116 0.884 0.489 Tl
0.231 0.116 0.989 Tl
0.333 0.667 0.362 Tl
0.473 0.527 0.667 Tl
0.473 0.946 0.667 Tl
0.527 0.054 0.167 Tl
0.527 0.473 0.167 Tl
0.667 0.333 0.862 Tl
0.769 0.884 0.489 Tl
0.884 0.116 0.989 Tl
0.884 0.769 0.989 Tl
0.946 0.473 0.167 Tl
```